A plane-wave DFT calculation with PBE was carried out for AlCu2Br after structural relaxation.

Cell: 7.304 4.153 6.187 Å, 90.00 109.78 90.00°
Space group Cm (No. 8)
Unique sites:
Al (0.000, 0.000, 0.000) (multiplicity 2)
Cu (0.132, 0.500, 0.881) (multiplicity 2)
Cu (0.290, 0.000, 0.843) (multiplicity 2)
Br (0.085, 0.000, 0.409) (multiplicity 2)

Properties
**Energy relative to the elements, uncorrected**: -0.0977 eV/atom
**Fermi-level density of states**: 3.65 states/eV per cell
**Crystal system**: monoclinic
**Energy relative to the lowest polymorph listed for this composition**: 0.000 eV per atom